Entry 1:
DFT (PBE-GGA) results for a relaxed structure of MgSiPb2.

Properties
As for the uncorrected formation energy: 25.1 kJ/mol of atoms. Its crystal system is tetragonal. The value obtained for the calculated density is 7.67 Mg/m³. As for the space group: No. 119.

a b c (Å): 5.8948 5.8948 5.8948
angles (deg): 134.94 134.94 65.62
Closest atoms and distances in Å follow each position.
Element x y z (fractional)
Mg (0.0000, 0.0000, 0.0000)  8 Pb 3.19-3.35, 4 Si 3.35
Si (0.7500, 0.2500, 0.5000)  8 Pb 3.19-3.35, 4 Mg 3.35
Pb (0.2500, 0.7500, 0.5000)  4 Si 3.19, 4 Pb 3.35, 4 Mg 3.35
Pb (0.5000, 0.5000, 0.0000)  4 Mg 3.19, 4 Pb 3.35, 4 Si 3.35

Entry 2:
DFT (PBE-GGA) results for a relaxed structure of MgTi2SiPb.

Properties
As for the uncorrected formation energy: 42.8 kJ/mol of atoms. Its crystal system is tetragonal. The value obtained for the calculated density is 4.91 Mg/m³. As for the space group: No. 123.

a b c (Å): 4.7296 4.7296 5.3669
angles (deg): 90.00 90.00 90.00
Closest atoms and distances in Å follow each position.
Element x y z (fractional)
Mg (0.0000, 0.0000, 0.0000)  4 Pb 3.34, 8 Ti 3.58
Ti (0.0000, 0.5000, 0.5000)  2 Si 2.36
Ti (0.5000, 0.0000, 0.5000)  2 Si 2.36
Si (0.5000, 0.5000, 0.5000)  4 Ti 2.36
Pb (0.5000, 0.5000, 0.0000)  2 Si 2.68

Entry 3:
DFT (PBE-GGA) results for a relaxed structure of MgZn2SiPb.

Properties
As for the uncorrected formation energy: 84.7 kJ/mol of atoms. Its crystal system is tetragonal. The value obtained for the calculated density is 4.26 Mg/m³. As for the space group: No. 123.

a b c (Å): 5.3552 5.3552 5.3011
angles (deg): 90.00 90.00 90.00
Closest atoms and distances in Å follow each position.
Element x y z (fractional)
Mg (0.0000, 0.0000, 0.0000)  8 Zn 3.77, 4 Si 3.79
Zn (0.0000, 0.5000, 0.5000)  2 Pb 2.68
Zn (0.5000, 0.0000, 0.5000)  2 Pb 2.68
Si (0.5000, 0.5000, 0.0000)  2 Pb 2.65
Pb (0.5000, 0.5000, 0.5000)  2 Si 2.65, 4 Zn 2.68

Entry 4:
DFT (PBE-GGA) results for a relaxed structure of Sm4Mg3Pb.

Properties
Its crystal system is orthorhombic. The value obtained for the calculated density is 6.38 Mg/m³. As for the space group: No. 47.

a b c (Å): 4.2789 5.1635 10.3917
angles (deg): 90.00 90.00 90.00
Closest atoms and distances in Å follow each position.
Element x y z (fractional)
Sm (0.0000, 0.0000, 0.0000)  4 Pb 3.35, 4 Mg 3.43, 4 Sm 3.65
Sm (0.0000, 0.0000, 0.5000)  8 Mg 3.30-3.35, 4 Sm 3.68
Sm (0.0000, 0.5000, 0.2479)  2 Pb 3.35, 6 Mg 3.35-3.38, 4 Sm 3.65-3.68
Sm (0.0000, 0.5000, 0.7521)  2 Pb 3.35, 6 Mg 3.35-3.38, 4 Sm 3.65-3.68
Mg (0.5000, 0.0000, 0.2582)  8 Sm 3.30-3.43, 2 Mg 3.60
Mg (0.5000, 0.0000, 0.7418)  8 Sm 3.30-3.43, 2 Mg 3.60
Mg (0.5000, 0.5000, 0.5000)  8 Sm 3.35-3.38, 4 Mg 3.60
Pb (0.5000, 0.5000, 0.0000)  8 Sm 3.35, 4 Mg 3.72

Entry 5:
DFT (PBE-GGA) results for a relaxed structure of Sm4MgPb5.

Properties
Its crystal system is tetragonal. The value obtained for the calculated density is 8.84 Mg/m³. As for the space group: No. 79.

a b c (Å): 7.6700 7.6700 7.6700
angles (deg): 100.17 100.17 130.31
Closest atoms and distances in Å follow each position.
Element x y z (fractional)
Sm (0.0873, 0.6955, 0.7828)  6 Pb 3.19-3.33
Sm (0.3045, 0.0873, 0.3918)  6 Pb 3.19-3.33
Sm (0.6955, 0.9127, 0.6082)  6 Pb 3.19-3.33
Sm (0.9127, 0.3045, 0.2172)  6 Pb 3.19-3.33
Mg (0.3019, 0.3019, 0.0000)  6 Pb 3.10-3.34
Pb (0.2249, 0.4010, 0.6276)  1 Mg 3.14, 5 Sm 3.19-3.24
Pb (0.4010, 0.7734, 0.1760)  1 Mg 3.14, 5 Sm 3.19-3.24
Pb (0.5973, 0.2249, 0.8240)  1 Mg 3.14, 5 Sm 3.19-3.24
Pb (0.7734, 0.5973, 0.3724)  1 Mg 3.14, 5 Sm 3.19-3.24
Pb (0.8206, 0.8206, 0.0000)  2 Mg 3.10-3.34, 4 Sm 3.33

Entry 6:
DFT (PBE-GGA) results for a relaxed structure of Sm2MgPb.

Properties
Its crystal system is tetragonal. The value obtained for the calculated density is 7.63 Mg/m³. As for the space group: No. 123.

a b c (Å): 3.9711 3.9711 7.3429
angles (deg): 90.00 90.00 90.00
Closest atoms and distances in Å follow each position.
Element x y z (fractional)
Sm (0.0000, 0.0000, 0.2465)  4 Mg 3.34, 4 Pb 3.37, 2 Sm 3.62-3.72
Sm (0.0000, 0.0000, 0.7535)  4 Mg 3.34, 4 Pb 3.37, 2 Sm 3.62-3.72
Mg (0.5000, 0.5000, 0.0000)  8 Sm 3.34, 2 Pb 3.67
Pb (0.5000, 0.5000, 0.5000)  8 Sm 3.37, 2 Mg 3.67

Fermi-level density of states in states/eV per cell, matching the order above: 2.2 3.5 3.9 8.7 8.0 2.4
E_tot in eV per atom, matching the order above: -3.348 -4.860 -1.777 -3.633 -4.168 -3.992